Entry 1:
Material: SmB4Pd
Method: DFT, PBE
State: relaxed Values from VASP.

Structure (Quantum ESPRESSO input):
```
&SYSTEM
  ibrav = 0, nat = 6, ntyp = 3
/
ATOMIC_SPECIES
B 10.81 B.upf
Sm 150.36 Sm.upf
Pd 106.42 Pd.upf
ATOMIC_POSITIONS angstrom
B 1.6181 0.9342 5.5246
B 0.0000 1.8684 1.5896
B 0.0000 1.8684 5.5246
B 1.6181 0.9342 1.5896
Sm 0.0000 0.0000 3.5571
Pd 0.0000 0.0000 0.0000
CELL_PARAMETERS angstrom
3.2363 0.0000 0.0000
-1.6181 2.8027 0.0000
0.0000 0.0000 7.1142
```

Calculated values
Volume, Å³/cell: 64.53
Size of the total moment, μB/f.u.: 0.001
Electronic total energy, eV per atom: -6.227

---

Entry 2:
Material: UBeGa
Method: DFT, PBE
State: relaxed Values from VASP.

Structure (Quantum ESPRESSO input):
```
&SYSTEM
  ibrav = 0, nat = 3, ntyp = 3
/
ATOMIC_SPECIES
U 238.03 U.upf
Be 9.01 Be.upf
Ga 69.72 Ga.upf
ATOMIC_POSITIONS angstrom
U -0.2906 0.2850 2.7623
Be -0.5812 0.5700 5.5246
Ga 0.0000 0.0000 0.0000
CELL_PARAMETERS angstrom
1.9595 1.5659 3.8076
-2.5659 1.8091 3.3065
-0.5559 -2.2349 3.9352
```

Calculated values
Volume, Å³/cell: 67.03
Size of the total moment, μB/f.u.: 2.745
Electronic total energy, eV per atom: -5.052

---

Entry 3:
Material: Cu3S2Cl2
Method: DFT, PBE
State: relaxed Values from VASP.

Structure (Quantum ESPRESSO input):
```
&SYSTEM
  ibrav = 0, nat = 14, ntyp = 3
/
ATOMIC_SPECIES
Cl 35.45 Cl.upf
Cu 63.55 Cu.upf
S 32.06 S.upf
ATOMIC_POSITIONS angstrom
Cl 1.8586 6.0425 -1.8586
Cl -1.8586 1.8586 6.0425
Cl 6.0425 -1.8586 1.8586
Cl 2.3253 2.3253 2.3253
Cu 0.8771 4.1839 2.0920
Cu 4.1839 -2.0920 3.3068
Cu 3.3068 4.1839 -2.0920
Cu 4.1839 2.0920 0.8771
Cu -2.0920 3.3068 4.1839
Cu 2.0920 0.8771 4.1839
S 3.9289 0.2550 -0.2550
S 0.2550 0.2550 0.2550
S 0.2550 -0.2550 3.9289
S -0.2550 3.9289 0.2550
CELL_PARAMETERS angstrom
-4.1839 4.1839 4.1839
4.1839 -4.1839 4.1839
4.1839 4.1839 -4.1839
```

Calculated values
Volume, Å³/cell: 292.96
Electronic total energy, eV per atom: -3.505

---

Entry 4:
Material: Nd2CoCuSi4
Method: DFT, PBE
State: relaxed Values from VASP.

Structure (Quantum ESPRESSO input):
```
&SYSTEM
  ibrav = 0, nat = 8, ntyp = 4
/
ATOMIC_SPECIES
Cu 63.55 Cu.upf
Si 28.09 Si.upf
Nd 144.24 Nd.upf
Co 58.93 Co.upf
ATOMIC_POSITIONS angstrom
Cu 0.0000 0.0000 5.3851
Si 0.0000 0.0000 12.3741
Si 2.0358 0.0000 9.0436
Si 0.0000 0.0000 7.7113
Si 2.0358 0.0000 4.0595
Nd 2.0358 0.0000 14.7905
Nd 0.0000 0.0000 1.7109
Co 2.0358 0.0000 11.3308
CELL_PARAMETERS angstrom
4.0716 0.0000 0.0000
0.0000 2.0831 8.3007
0.0000 -2.0831 8.3007
```

Calculated values
Volume, Å³/cell: 140.81
Size of the total moment, μB/f.u.: 0.002
Electronic total energy, eV per atom: -5.950

---

Entry 5:
Material: YTmPd2
Method: DFT, PBE
State: relaxed Values from VASP.

Structure (Quantum ESPRESSO input):
```
&SYSTEM
  ibrav = 0, nat = 8, ntyp = 3
/
ATOMIC_SPECIES
Pd 106.42 Pd.upf
Y 88.91 Y.upf
Tm 168.93 Tm.upf
ATOMIC_POSITIONS angstrom
Pd 0.2218 -3.9512 3.6065
Pd -1.6543 -1.8211 4.3011
Pd -0.9539 -2.2904 7.7265
Pd -0.4785 -3.4820 0.1812
Y -2.4453 -3.8489 2.2712
Y 1.0128 -1.9235 5.6364
Tm -1.8318 -4.3359 5.7993
Tm 0.3993 -1.4365 2.1084
CELL_PARAMETERS angstrom
-4.9137 -0.5358 2.5746
0.1511 -4.4884 -0.6458
3.3302 -0.7481 5.9789
```

Calculated values
Volume, Å³/cell: 174.07
Size of the total moment, μB/f.u.: 0.007
Energy of formation, eV per atom: -0.938
Electronic total energy, eV per atom: -6.261

---

Entry 6:
Material: NaTlPdPb
Method: DFT, PBE
State: relaxed Values from VASP.

Structure (Quantum ESPRESSO input):
```
&SYSTEM
  ibrav = 0, nat = 4, ntyp = 4
/
ATOMIC_SPECIES
Pd 106.42 Pd.upf
Tl 204.38 Tl.upf
Pb 207.20 Pb.upf
Na 22.99 Na.upf
ATOMIC_POSITIONS angstrom
Pd 0.7128 -2.6124 1.4634
Tl 1.4257 -5.2248 2.9268
Pb 0.0000 0.0000 0.0000
Na 2.1385 -7.8373 4.3902
CELL_PARAMETERS angstrom
3.0200 -4.0180 -0.0116
1.5785 -1.9701 4.3465
-1.7472 -4.4616 1.5187
```

Calculated values
Volume, Å³/cell: 89.80
Electronic total energy, eV per atom: -3.277

---

Entry 7:
Material: Li2MgAl2Cu2Pt
Method: DFT, PBE
State: relaxed Values from VASP.

Structure (Quantum ESPRESSO input):
```
&SYSTEM
  ibrav = 0, nat = 8, ntyp = 5
/
ATOMIC_SPECIES
Mg 24.30 Mg.upf
Cu 63.55 Cu.upf
Al 26.98 Al.upf
Li 6.94 Li.upf
Pt 195.08 Pt.upf
ATOMIC_POSITIONS angstrom
Mg 0.0000 0.0000 0.0000
Cu -2.4735 1.1830 1.4114
Cu -1.7524 -2.1005 -1.3106
Al -2.0268 -1.3169 1.3106
Al -4.6726 1.5824 0.2015
Li -4.3106 -0.2247 2.6137
Li -2.3888 0.4902 -1.1016
Pt -4.2259 -0.9175 0.1007
CELL_PARAMETERS angstrom
-2.2109 -0.2472 -3.6676
-1.2938 -3.9537 1.0464
-4.9470 2.3659 2.8227
```

Calculated values
Volume, Å³/cell: 113.49
Size of the total moment, μB/f.u.: 0.000
Electronic total energy, eV per atom: -3.651

---

Entry 8:
Material: ErLuMg2
Method: DFT, PBE
State: relaxed Values from VASP.

Structure (Quantum ESPRESSO input):
```
&SYSTEM
  ibrav = 0, nat = 8, ntyp = 3
/
ATOMIC_SPECIES
Er 167.26 Er.upf
Mg 24.30 Mg.upf
Lu 174.97 Lu.upf
ATOMIC_POSITIONS angstrom
Er -1.9963 -3.0459 2.0732
Er 1.0373 -5.3252 1.4963
Mg 0.3609 -2.6188 -0.1409
Mg -1.3198 -5.7523 3.7104
Mg 0.8731 -2.7917 3.5446
Mg -1.8320 -5.5793 0.0249
Lu 0.5286 -5.1551 -2.1950
Lu -1.4876 -3.2159 5.7645
CELL_PARAMETERS angstrom
-4.7067 -0.9091 4.3794
0.2765 -5.0719 -4.0444
3.4712 -2.3900 3.2345
```

Calculated values
Volume, Å³/cell: 210.49
Size of the total moment, μB/f.u.: 0.063
Electronic total energy, eV per atom: -3.098

---

Entry 9:
Material: CsNpIr
Method: DFT, PBE
State: relaxed Values from VASP.

Structure (Quantum ESPRESSO input):
```
&SYSTEM
  ibrav = 0, nat = 3, ntyp = 3
/
ATOMIC_SPECIES
Ir 192.22 Ir.upf
Cs 132.91 Cs.upf
Np 237.00 Np.upf
ATOMIC_POSITIONS angstrom
Ir -2.4402 -1.6154 0.1698
Cs 0.0000 0.0000 0.0000
Np -7.3207 -4.8463 0.5094
CELL_PARAMETERS angstrom
-1.9422 -3.9641 1.8518
-4.5943 -0.0113 1.3446
-3.2245 -2.4864 -2.5171
```

Calculated values
Volume, Å³/cell: 77.57
Size of the total moment, μB/f.u.: 0.103
Electronic total energy, eV per atom: -5.355

---

Entry 10:
Material: HoLuSiGeOs
Method: DFT, PBE
State: relaxed Values from VASP.

Structure (Quantum ESPRESSO input):
```
&SYSTEM
  ibrav = 0, nat = 10, ntyp = 5
/
ATOMIC_SPECIES
Ge 72.64 Ge.upf
Si 28.09 Si.upf
Os 190.23 Os.upf
Ho 164.93 Ho.upf
Lu 174.97 Lu.upf
ATOMIC_POSITIONS angstrom
Ge 4.1695 0.0000 4.9116
Ge 1.7795 0.0000 3.8137
Si 4.6624 0.0000 1.0840
Si 1.2866 0.0000 7.6412
Os 6.0081 0.0000 3.1859
Os -0.0591 0.0000 5.5393
Ho 4.5015 0.0000 7.7758
Ho 1.4475 0.0000 0.9494
Lu 9.0619 0.0000 2.8123
Lu -3.1129 0.0000 5.9129
CELL_PARAMETERS angstrom
5.2915 -2.1379 0.0000
5.2915 2.1379 0.0000
-4.6339 0.0000 8.7252
```

Calculated values
Volume, Å³/cell: 197.41
Size of the total moment, μB/f.u.: 0.014
Electronic total energy, eV per atom: -6.775

---

Entry 11:
Material: CsZrBeS3
Method: DFT, PBE
State: relaxed Values from VASP.

Structure (Quantum ESPRESSO input):
```
&SYSTEM
  ibrav = 0, nat = 12, ntyp = 4
/
ATOMIC_SPECIES
S 32.06 S.upf
Zr 91.22 Zr.upf
Cs 132.91 Cs.upf
Be 9.01 Be.upf
ATOMIC_POSITIONS angstrom
S 1.8326 -1.7529 9.2639
S 1.8326 -7.1761 7.4809
S 1.8326 7.1761 2.4936
S 1.8326 1.7529 4.2767
S 1.8326 1.7529 0.7106
S 1.8326 -1.7529 5.6978
Zr 0.0000 0.0000 4.9872
Zr 0.0000 0.0000 0.0000
Cs 1.8326 3.6863 7.4809
Cs 1.8326 -3.6863 2.4936
Be 1.8326 0.6496 2.4936
Be 1.8326 -0.6496 7.4809
CELL_PARAMETERS angstrom
1.8326 -7.8365 0.0000
1.8326 7.8365 0.0000
0.0000 0.0000 9.9745
```

Calculated values
Volume, Å³/cell: 286.49
Size of the total moment, μB/f.u.: 0.510
Electronic total energy, eV per atom: -5.539

---

Entry 12:
Material: Pr2Te
Method: DFT, PBE
State: relaxed Values from VASP.

Structure (Quantum ESPRESSO input):
```
&SYSTEM
  ibrav = 0, nat = 6, ntyp = 2
/
ATOMIC_SPECIES
Te 127.60 Te.upf
Pr 140.91 Pr.upf
ATOMIC_POSITIONS angstrom
Te 0.0000 0.0000 12.0929
Te 0.0000 0.0000 6.0465
Pr 2.4685 1.4252 13.1007
Pr -2.4685 1.4252 13.1007
Pr 0.0000 -2.8503 13.1007
Pr 0.0000 0.0000 9.0697
CELL_PARAMETERS angstrom
4.9369 2.8503 8.0620
-4.9369 2.8503 8.0620
0.0000 -5.7007 8.0620
```

Calculated values
Volume, Å³/cell: 680.68
Size of the total moment, μB/f.u.: 4.047
Electronic total energy, eV per atom: -3.476

---

Entry 13:
Material: PrNiPd
Method: DFT, PBE
State: relaxed Values from VASP.

Structure (Quantum ESPRESSO input):
```
&SYSTEM
  ibrav = 0, nat = 3, ntyp = 3
/
ATOMIC_SPECIES
Pr 140.91 Pr.upf
Ni 58.69 Ni.upf
Pd 106.42 Pd.upf
ATOMIC_POSITIONS angstrom
Pr 1.6427 1.6427 1.6427
Ni 3.2855 3.2855 3.2855
Pd 0.0000 0.0000 0.0000
CELL_PARAMETERS angstrom
0.0000 3.2855 3.2855
3.2855 0.0000 3.2855
3.2855 3.2855 0.0000
```

Calculated values
Volume, Å³/cell: 70.93
Size of the total moment, μB/f.u.: 0.014
Energy of formation, eV per atom: 0.176
Electronic total energy, eV per atom: -4.996

---

Entry 14:
Material: TmScGa2Co4
Method: DFT, PBE
State: relaxed Values from VASP.

Structure (Quantum ESPRESSO input):
```
&SYSTEM
  ibrav = 0, nat = 8, ntyp = 4
/
ATOMIC_SPECIES
Tm 168.93 Tm.upf
Sc 44.96 Sc.upf
Ga 69.72 Ga.upf
Co 58.93 Co.upf
ATOMIC_POSITIONS angstrom
Tm 2.0458 1.1811 4.1551
Sc 0.0000 0.0000 0.0000
Ga 0.0000 2.3623 1.9939
Ga 0.0000 2.3623 6.3164
Co 0.0000 0.0000 5.6985
Co 2.0458 1.1811 1.3691
Co 0.0000 0.0000 2.6118
Co 2.0458 1.1811 6.9411
CELL_PARAMETERS angstrom
4.0916 0.0000 0.0000
-2.0458 3.5434 0.0000
0.0000 0.0000 8.3103
```

Calculated values
Volume, Å³/cell: 120.48
Size of the total moment, μB/f.u.: 1.495
Electronic total energy, eV per atom: -5.960

---

Entry 15:
Material: K3Cd2Au3
Method: DFT, PBE
State: relaxed Values from VASP.

Structure (Quantum ESPRESSO input):
```
&SYSTEM
  ibrav = 0, nat = 16, ntyp = 3
/
ATOMIC_SPECIES
Au 196.97 Au.upf
K 39.10 K.upf
Cd 112.41 Cd.upf
ATOMIC_POSITIONS angstrom
Au 2.4250 1.2865 8.5565
Au 2.4250 1.2865 15.3754
Au 2.4250 -2.3355 11.9660
Au 2.4250 -1.2865 0.5792
Au 2.4250 2.3355 3.9887
Au 2.4250 -1.2865 7.3981
K 2.4250 5.1807 14.1261
K 2.4250 -1.5062 3.9887
K 2.4250 -5.1807 6.1488
K 2.4250 5.1807 9.8058
K 2.4250 -5.1807 1.8285
K 2.4250 1.5062 11.9660
Cd 2.4250 -3.5129 9.2985
Cd 2.4250 -3.5129 14.6335
Cd 2.4250 3.5129 6.6562
Cd 2.4250 3.5129 1.3212
CELL_PARAMETERS angstrom
2.4250 -6.1604 0.0000
2.4250 6.1604 0.0000
0.0000 0.0000 15.9546
```

Calculated values
Volume, Å³/cell: 476.69
Electronic total energy, eV per atom: -2.149

---

Entry 16:
Material: MgNbAsO
Method: DFT, PBE
State: relaxed Values from VASP.

Structure (Quantum ESPRESSO input):
```
&SYSTEM
  ibrav = 0, nat = 8, ntyp = 4
/
ATOMIC_SPECIES
Mg 24.30 Mg.upf
O 16.00 O.upf
As 74.92 As.upf
Nb 92.91 Nb.upf
ATOMIC_POSITIONS angstrom
Mg -2.8753 -4.2062 0.8126
Mg -4.2978 -2.7301 -0.8340
O -0.7320 -1.2286 -2.5685
O 0.6905 -2.7048 -0.9219
As -2.0154 -3.7855 -1.6526
As -5.1578 -3.1508 1.6312
Nb -1.0233 -1.4099 -0.3799
Nb -6.1498 -5.5264 0.3585
CELL_PARAMETERS angstrom
-1.4433 -0.4905 -3.3918
1.4017 -3.4428 -0.0986
-7.1316 -3.0029 3.4690
```

Calculated values
Volume, Å³/cell: 117.26
Size of the total moment, μB/f.u.: 0.007
Electronic total energy, eV per atom: -6.128

---

Entry 17:
Material: NiI
Method: DFT, PBE
State: relaxed Values from VASP.

Structure (Quantum ESPRESSO input):
```
&SYSTEM
  ibrav = 0, nat = 4, ntyp = 2
/
ATOMIC_SPECIES
Ni 58.69 Ni.upf
I 126.90 I.upf
ATOMIC_POSITIONS angstrom
Ni 3.5771 1.9721 3.1697
Ni 1.1924 1.9721 2.8656
I 1.1924 0.0000 1.4833
I 3.5771 0.0000 4.5519
CELL_PARAMETERS angstrom
4.7694 0.0000 0.0000
0.0000 3.9443 0.0000
0.0000 0.0000 6.0353
```

Calculated values
Volume, Å³/cell: 113.53
Size of the total moment, μB/f.u.: 0.723
Electronic total energy, eV per atom: -3.168

---

Entry 18:
Material: Zn2BH3O5
Method: DFT, PBE
State: relaxed Values from VASP.

Structure (Quantum ESPRESSO input):
```
&SYSTEM
  ibrav = 0, nat = 11, ntyp = 4
/
ATOMIC_SPECIES
H 1.01 H.upf
O 16.00 O.upf
B 10.81 B.upf
Zn 65.41 Zn.upf
ATOMIC_POSITIONS angstrom
H -1.0151 -0.2220 -1.9810
H -5.3984 0.4646 0.7580
H -0.2258 -1.6989 -1.6691
O -4.0524 -1.5945 -2.9468
O -5.1201 -2.8115 -0.2054
O -2.6916 -0.6863 -0.0959
O -1.5006 1.6900 -1.9828
O -4.2447 0.7273 -2.4395
B -4.3497 -0.2990 -3.3225
Zn -3.5414 -2.0763 -1.1500
Zn -2.9780 1.0371 -0.9495
CELL_PARAMETERS angstrom
-1.9162 4.3194 -1.2057
-0.1416 -3.7229 -3.3203
-4.4888 -1.7838 2.2021
```

Calculated values
Volume, Å³/cell: 112.62
Electronic total energy, eV per atom: -5.487

---

Entry 19:
Material: NiP
Method: DFT, PBE
State: relaxed Values from VASP.

Structure (Quantum ESPRESSO input):
```
&SYSTEM
  ibrav = 0, nat = 40, ntyp = 2
/
ATOMIC_SPECIES
Ni 58.69 Ni.upf
P 30.97 P.upf
ATOMIC_POSITIONS angstrom
Ni 4.9931 -0.5121 7.7167
Ni 3.5280 1.9974 5.5329
Ni 6.3605 -7.0336 14.2306
Ni 4.8112 -4.4885 12.1486
Ni 4.0119 -1.7586 4.1318
Ni 4.4839 -3.1221 8.0055
Ni 7.3644 -1.9933 9.9024
Ni 4.6658 0.8543 3.5736
Ni 2.1125 -1.6409 5.8198
Ni 5.4651 -1.8756 11.5904
Ni 7.0291 -3.5333 13.4658
Ni 1.2061 3.5021 3.1756
Ni 2.4479 -0.1008 2.2564
Ni 0.5485 0.0169 3.9444
Ni 8.2709 -7.1363 12.5466
Ni 3.1165 3.3994 1.4916
Ni 5.9490 -5.6316 10.1892
Ni 2.5734 -3.0194 9.6895
Ni 8.9284 -3.6510 11.7778
Ni 6.9036 -0.6147 6.0327
P 2.9809 0.2089 7.0024
P 4.0260 3.1449 3.5378
P 10.8886 -4.3212 12.6902
P 9.5573 -2.6001 9.8598
P 5.7729 1.2932 5.6325
P 2.7444 0.0944 4.5042
P 4.3705 -1.5715 9.6325
P 5.4510 -6.7791 12.1844
P 7.2105 -0.4225 8.2798
P 1.4284 1.8360 1.6792
P 1.2340 2.0606 4.9077
P 3.7041 -4.9274 10.0896
P -1.4116 0.6870 3.0320
P 5.1065 -2.0626 6.0897
P 6.4961 -3.8431 8.7198
P -0.0803 -1.0341 5.8624
P 2.2665 -3.2117 7.4424
P 8.0486 -5.4702 14.0429
P 8.2430 -5.6948 10.8145
P 6.7326 -3.7286 11.2179
CELL_PARAMETERS angstrom
-3.0237 1.2789 3.6521
9.0363 -9.5781 10.8355
3.4644 4.6650 1.2346
```

Calculated values
Volume, Å³/cell: 497.47
Size of the total moment, μB/f.u.: 0.001
Electronic total energy, eV per atom: -5.917

---

Entry 20:
Material: Zr4Pb3
Method: DFT, PBE
State: relaxed Values from VASP.

Structure (Quantum ESPRESSO input):
```
&SYSTEM
  ibrav = 0, nat = 14, ntyp = 2
/
ATOMIC_SPECIES
Pb 207.20 Pb.upf
Zr 91.22 Zr.upf
ATOMIC_POSITIONS angstrom
Pb -4.0850 -1.8012 -4.7639
Pb -8.4988 -4.2069 -6.6993
Pb -5.6756 -5.7536 -6.1195
Pb -1.8703 -0.8153 -2.2465
Pb -1.7845 -4.0291 -1.6431
Pb -2.8229 -3.9043 -6.9271
Zr -7.4545 -6.4673 -8.6882
Zr -10.4288 -5.0792 -8.8011
Zr -1.0058 -3.1442 -4.5207
Zr -5.9025 -2.5616 -7.1701
Zr -6.3501 -6.5938 -3.1116
Zr -4.5714 -2.5056 -1.9060
Zr -3.7457 -4.8813 -4.0175
Zr -6.7195 -3.4930 -4.1303
CELL_PARAMETERS angstrom
-7.2664 -4.2549 -1.1276
-3.2531 -0.8611 -7.8013
2.7808 -4.5755 -0.6545
```

Calculated values
Volume, Å³/cell: 337.16
Size of the total moment, μB/f.u.: 0.001
Electronic total energy, eV per atom: -6.529